[1]
VASP calculation (PBE-GGA) on an optimized crystal structure of HfScVHg2.

Properties
D(E_F) = 5.38 states/eV/cell
energy of formation = 1.102 eV per atom
volume = 118.6 Å³/f.u.
M_tot = 2.3 μB/f.u.

Unit cell a=5.1951 b=4.3958 c=5.1951 alpha=90.00 beta=90.00 gamma=90.00
Closest atoms and distances in Å follow each position.
Fractional coordinates of all 5 atoms:
Hg  0.5000  0.0000  0.0000  2 Sc 2.60
Sc  0.0000  0.0000  0.0000  2 V 2.20
V  0.0000  0.5000  0.0000  2 Sc 2.20
Hf  0.5000  0.5000  0.5000  8 Hg 3.40, 4 V 3.67
Hg  0.0000  0.0000  0.5000  2 Sc 2.60


[2]
VASP calculation (PBE-GGA) on an optimized crystal structure of TbYCo2.

Properties
D(E_F) = 8.64 states/eV/cell
energy of formation = -0.191 eV per atom
volume = 81.2 Å³/f.u.
M_tot = 0.3 μB/f.u.

Unit cell a=3.8722 b=5.5617 c=7.5375 alpha=90.00 beta=90.00 gamma=90.00
Closest atoms and distances in Å follow each position.
Fractional coordinates of all 8 atoms:
Tb  0.5000  0.6337  0.8218  7 Co 2.88-3.11
Y  0.0000  0.8662  0.1779  7 Co 2.89-3.09
Co  0.5000  0.1541  0.9733  2 Co 2.25
Co  0.0000  0.6513  0.5270  2 Co 2.25
Tb  0.5000  0.3663  0.3218  7 Co 2.88-3.11
Y  0.0000  0.1338  0.6779  7 Co 2.89-3.09
Co  0.0000  0.3487  0.0270  2 Co 2.25
Co  0.5000  0.8459  0.4733  2 Co 2.25